# Tl2Se2S7 GGA-PBE optimized geometry
data_Tl2Se2S7
_chemical_formula_sum 'Tl2 Se2 S7'
_cell_length_a 10.239
_cell_length_b 7.865
_cell_length_c 6.427
_cell_angle_alpha 109.38
_cell_angle_beta 120.65
_cell_angle_gamma 49.39
_space_group_name_H-M_alt 'P 1'
_space_group_IT_number 1
loop_
_space_group_symop_operation_xyz
'x,y,z'
loop_
_atom_site_label
_atom_site_fract_x
_atom_site_fract_y
_atom_site_fract_z
_atom_site_occupancy
Tl1 0.410 0.000 0.093 1
Tl2 0.720 0.000 0.804 1
Se1 0.675 0.600 0.501 1
Se2 0.275 0.400 0.501 1
S1 0.514 0.521 0.893 1
S2 0.015 0.474 0.185 1
S3 0.489 0.526 0.185 1
S4 0.035 0.479 0.893 1
S5 0.060 0.000 0.960 1
S6 0.792 0.000 0.369 1
S7 0.014 0.000 0.617 1
# Crystal system = monoclinic

***

# Tl2Se3S GGA-PBE optimized geometry
data_Tl2Se3S
_chemical_formula_sum 'Tl4 Se6 S2'
_cell_length_a 5.461
_cell_length_b 8.525
_cell_length_c 8.525
_cell_angle_alpha 63.62
_cell_angle_beta 81.34
_cell_angle_gamma 81.34
_space_group_name_H-M_alt 'P 1'
_space_group_IT_number 1
loop_
_space_group_symop_operation_xyz
'x,y,z'
loop_
_atom_site_label
_atom_site_fract_x
_atom_site_fract_y
_atom_site_fract_z
_atom_site_occupancy
Tl1 0.784 0.190 0.527 1
Tl2 0.284 0.527 0.190 1
Tl3 0.716 0.473 0.810 1
Tl4 0.216 0.810 0.473 1
Se1 0.250 0.352 0.648 1
Se2 0.750 0.648 0.352 1
Se3 0.849 0.802 0.846 1
Se4 0.651 0.154 0.198 1
Se5 0.349 0.846 0.802 1
Se6 0.151 0.198 0.154 1
S1 0.750 0.896 0.104 1
S2 0.250 0.104 0.896 1
# Crystal system = monoclinic

***

# Tm8Tl4Se3S GGA-PBE optimized geometry
data_Tm8Tl4Se3S
_chemical_formula_sum 'Tm8 Tl4 Se3 S1'
_cell_length_a 7.675
_cell_length_b 9.078
_cell_length_c 7.701
_cell_angle_alpha 115.28
_cell_angle_beta 119.89
_cell_angle_gamma 90.00
_space_group_name_H-M_alt 'P 1'
_space_group_IT_number 1
loop_
_space_group_symop_operation_xyz
'x,y,z'
loop_
_atom_site_label
_atom_site_fract_x
_atom_site_fract_y
_atom_site_fract_z
_atom_site_occupancy
Tm1 0.233 0.712 0.979 1
Tm2 0.233 0.712 0.466 1
Tm3 0.260 0.282 0.521 1
Tm4 0.746 0.712 0.979 1
Tm5 0.254 0.288 0.021 1
Tm6 0.740 0.718 0.479 1
Tm7 0.767 0.288 0.534 1
Tm8 0.767 0.288 0.021 1
Tl1 0.500 0.000 0.000 1
Tl2 0.500 0.000 0.500 1
Tl3 0.000 0.000 0.000 1
Tl4 0.000 0.000 0.500 1
Se1 0.500 0.500 0.000 1
Se2 0.500 0.500 0.500 1
Se3 0.000 0.500 0.500 1
S1 0.000 0.500 0.000 1
# Crystal system = monoclinic

***

# Tm4Tl2SeS GGA-PBE optimized geometry
data_Tm4Tl2SeS
_chemical_formula_sum 'Tm4 Tl2 Se1 S1'
_cell_length_a 3.803
_cell_length_b 6.627
_cell_length_c 8.197
_cell_angle_alpha 105.41
_cell_angle_beta 90.00
_cell_angle_gamma 90.00
_space_group_name_H-M_alt 'P 1'
_space_group_IT_number 1
loop_
_space_group_symop_operation_xyz
'x,y,z'
loop_
_atom_site_label
_atom_site_fract_x
_atom_site_fract_y
_atom_site_fract_z
_atom_site_occupancy
Tm1 0.500 0.227 0.206 1
Tm2 0.500 0.773 0.794 1
Tm3 0.000 0.254 0.788 1
Tm4 0.000 0.746 0.212 1
Tl1 0.500 0.000 0.500 1
Tl2 0.000 0.500 0.500 1
Se1 0.500 0.500 0.000 1
S1 0.000 0.000 0.000 1
# Crystal system = monoclinic

***

| no. | Fermi-level density of states (states/eV/cell) | total DFT energy (no corrections) (eV/cell) |
| --- | --- | --- |
| 1 | 2.08 | -40.0 |
| 2 | 5.53 | -39.4 |
| 3 | 7.65 | -76.2 |
| 4 | 2.92 | -38.7 |